Entry from the Alexandria database: Ba2MgSi2 after structural relaxation (PBE-GGA).

Structure (extended XYZ):
```
10
Lattice="7.708 0.000 0.000 0.000 7.708 0.000 0.000 0.000 5.171" Properties=species:S:1:pos:R:3 pbc="T T T"
Si 0.848 3.006 0.000
Si 6.860 4.702 0.000
Si 3.006 6.860 0.000
Si 4.702 0.848 0.000
Ba 5.207 6.355 2.585
Ba 1.353 5.207 2.585
Ba 2.501 1.353 2.585
Ba 6.355 2.501 2.585
Mg 0.000 0.000 0.000
Mg 3.854 3.854 0.000
```

## Properties
Formation energy without anion corrections   -0.22 eV per atom
Theoretical density   3.8 Mg/m³
Fermi-level density of states   7.735 states/eV/cell
Magnetization   0.4 μB per formula unit
E above lowest polymorph   0.0 meV per atom